Entry 1:
An optimized crystal structure of YTi, computed with GGA-PBE.

Computed properties:
energy	-11.70	eV per formula unit
energy above the lowest structure with this stoichiometry	1125	meV/atom
calculated volume	331	Å³ per cell
DFT formation energy	1.327	eV/atom
N(E_F)	17.0	states/eV/cell
SG	No. 217
total magnetization	0.30	μB/f.u.

abc: 7.551 7.551 7.551
angles: 109.47 109.47 109.47
Fractional positions:
Y1 0.000 0.000 0.426
Y2 0.000 0.426 0.000
Y3 0.426 0.000 0.000
Y4 0.574 0.574 0.574
Ti1 0.000 0.000 0.797
Ti2 0.000 0.797 0.000
Ti3 0.203 0.203 0.203
Ti4 0.797 0.000 0.000

=====

Entry 2:
An optimized crystal structure of YTi, computed with GGA-PBE.

Computed properties:
energy	-13.77	eV per formula unit
energy above the lowest structure with this stoichiometry	92	meV/atom
calculated volume	387	Å³ per cell
DFT formation energy	0.293	eV/atom
N(E_F)	24.0	states/eV/cell
SG	No. 19
total magnetization	0.00	μB/f.u.

abc: 5.926 6.303 10.364
angles: 90.00 90.00 90.00
Fractional positions:
Y1 0.071 0.155 0.242
Y2 0.213 0.409 0.510
Y3 0.287 0.591 0.010
Y4 0.429 0.845 0.742
Y5 0.571 0.345 0.758
Y6 0.713 0.091 0.490
Y7 0.787 0.909 0.990
Y8 0.929 0.655 0.258
Ti1 0.054 0.194 0.779
Ti2 0.188 0.890 0.500
Ti3 0.312 0.110 0.000
Ti4 0.446 0.806 0.279
Ti5 0.554 0.306 0.221
Ti6 0.688 0.610 0.500
Ti7 0.812 0.390 0.000
Ti8 0.946 0.694 0.721